# 1
Below is SrNd2Ho after structural relaxation, with properties calculated at the GGA-PBE level.

a = 13.2507 Å, b = 13.2507 Å, c = 13.2507 Å
α = 15.90°, β = 15.90°, γ = 15.90°
Last column: nearest neighbours and their distance in Å.
Fractional positions:
Sr 0.0000 0.0000 0.0000  6 Sr 3.67, 2 Nd 3.67
Nd 0.0936 0.0936 0.0936  3 Ho 3.56, 6 Nd 3.67, 1 Sr 3.67
Nd 0.9064 0.9064 0.9064  3 Ho 3.56, 6 Nd 3.67, 1 Sr 3.67
Ho 0.5000 0.5000 0.5000  6 Nd 3.56, 6 Ho 3.67

As for the formation energy: 184 meV/atom. Its space group is R-3m. Its total moment is 0.0 μB per formula unit. The value obtained for the polymorph energy (0 for the lowest one) is 0.096 eV per atom.

# 2
Below is ErCuSi2S6 after structural relaxation, with properties calculated at the GGA-PBE level.

a = 8.4813 Å, b = 8.4813 Å, c = 6.4402 Å
α = 104.57°, β = 104.57°, γ = 85.77°
Last column: nearest neighbours and their distance in Å.
Fractional positions:
Er 0.1317 0.8683 0.7500  6 S 2.66-2.90
Er 0.8683 0.1317 0.2500  6 S 2.66-2.90
Cu 0.2115 0.7885 0.2500  4 S 2.31-2.41
Cu 0.7885 0.2115 0.7500  4 S 2.31-2.41
Si 0.2287 0.3801 0.7755  4 S 2.13-2.16
Si 0.3801 0.2287 0.2755  4 S 2.13-2.16
Si 0.6199 0.7713 0.7245  4 S 2.13-2.16
Si 0.7713 0.6199 0.2245  4 S 2.13-2.16
S 0.0515 0.1876 0.6647  1 Si 2.16, 1 Cu 2.41
S 0.1270 0.6085 0.9095  1 Si 2.13, 1 Cu 2.31
S 0.1876 0.0515 0.1647  1 Si 2.16, 1 Cu 2.41
S 0.3046 0.4345 0.5047  2 Si 2.16
S 0.3915 0.8730 0.5905  1 Si 2.13, 1 Cu 2.31
S 0.4345 0.3046 0.0047  2 Si 2.16
S 0.5655 0.6954 0.9953  2 Si 2.16
S 0.6085 0.1270 0.4095  1 Si 2.13, 1 Cu 2.31
S 0.6954 0.5655 0.4953  2 Si 2.16
S 0.8124 0.9485 0.8353  1 Si 2.16, 1 Cu 2.41
S 0.8730 0.3915 0.0905  1 Si 2.13, 1 Cu 2.31
S 0.9485 0.8124 0.3353  1 Si 2.16, 1 Cu 2.41

Its space group is C2/c. Its total moment is 0.0 μB per formula unit. Its calculated total energy is -5.285 eV/atom.

# 3
Below is CoW2Au after structural relaxation, with properties calculated at the GGA-PBE level.

a = 4.9143 Å, b = 4.9143 Å, c = 4.9143 Å
α = 134.18°, β = 134.18°, γ = 66.81°
Last column: nearest neighbours and their distance in Å.
Fractional positions:
Co 0.0000 0.0000 0.0000  4 Au 2.71, 8 W 2.80
W 0.2500 0.7500 0.5000  4 W 2.71, 4 Co 2.80, 4 Au 2.80
W 0.7500 0.2500 0.5000  4 W 2.71, 4 Co 2.80, 4 Au 2.80
Au 0.5000 0.5000 0.0000  4 Co 2.71, 8 W 2.80

As for the formation energy: 311 meV/atom. Its space group is I4/mmm. Its total moment is 1.2 μB per formula unit. The value obtained for the polymorph energy (0 for the lowest one) is 0.067 eV per atom.